(1)
Density functional theory data (PBE-GGA) for an optimized crystal structure of Te2OF.

Cell: 4.5204 4.5204 4.5204 Å, 60.00 60.00 60.00°
With the nearest neighbours (Å) after each atom.
Sites, in units of the cell vectors:
Te1 0.7500 0.7500 0.7500  4 O 2.77, 4 F 2.77
Te2 0.2500 0.2500 0.2500  4 F 2.77, 4 O 2.77
F1 0.5000 0.5000 0.5000  8 Te 2.77
O1 0.0000 0.0000 0.0000  8 Te 2.77

Values from the calculation:
For the theoretical density, the calculation gives 7.38 g/cm³. The total moment is 0.000 μB per atom. The calculation puts the volume at 16.329 Å³ per atom. Its calculated total energy is -3.401 eV/atom. The uncorrected formation energy comes out at -0.123 eV/atom.

---

(2)
Density functional theory data (PBE-GGA) for an optimized crystal structure of Te2OF.

Cell: 8.3433 8.3433 8.3433 Å, 22.66 22.66 22.66°
With the nearest neighbours (Å) after each atom.
Sites, in units of the cell vectors:
F1 0.5000 0.5000 0.5000  6 Te 2.82
O1 0.0000 0.0000 0.0000  2 Te 1.97
Te1 0.0810 0.0810 0.0810  1 O 1.97
Te2 0.9190 0.9190 0.9190  1 O 1.97

Values from the calculation:
For the theoretical density, the calculation gives 6.37 g/cm³. The total moment is 0.000 μB per atom. The calculation puts the volume at 18.900 Å³ per atom. Its calculated total energy is -3.903 eV/atom. The uncorrected formation energy comes out at -0.625 eV/atom.

---

(3)
Density functional theory data (PBE-GGA) for an optimized crystal structure of Te3OF.

Cell: 4.6993 4.6993 4.6993 Å, 90.00 90.00 90.00°
With the nearest neighbours (Å) after each atom.
Sites, in units of the cell vectors:
O1 0.0000 0.0000 0.0000  6 Te 2.35
Te1 0.0000 0.0000 0.5000  2 O 2.35
Te2 0.0000 0.5000 0.0000  2 O 2.35
F1 0.5000 0.5000 0.5000  12 Te 3.32
Te3 0.5000 0.0000 0.0000  2 O 2.35

Values from the calculation:
For the theoretical density, the calculation gives 6.69 g/cm³. The total moment is 0.000 μB per atom. The calculation puts the volume at 20.755 Å³ per atom. Its calculated total energy is -3.231 eV/atom. The uncorrected formation energy comes out at 0.019 eV/atom.

---

(4)
Density functional theory data (PBE-GGA) for an optimized crystal structure of TiTeO2F.

Cell: 4.0004 4.0004 4.1099 Å, 90.00 90.00 90.00°
With the nearest neighbours (Å) after each atom.
Sites, in units of the cell vectors:
O1 0.0000 0.5000 0.0000  2 Ti 2.00
Ti1 0.0000 0.0000 0.0000  4 O 2.00, 2 F 2.05
Te1 0.5000 0.5000 0.5000  4 F 2.83, 8 O 2.87
O2 0.5000 0.0000 0.0000  2 Ti 2.00
F1 0.0000 0.0000 0.5000  2 Ti 2.05

Values from the calculation:
For the theoretical density, the calculation gives 5.72 g/cm³. The total moment is 0.001 μB per atom. The calculation puts the volume at 13.154 Å³ per atom. Its calculated total energy is -6.190 eV/atom. The uncorrected formation energy comes out at -1.625 eV/atom.

---

(5)
Density functional theory data (PBE-GGA) for an optimized crystal structure of TiTeO3F2.

Cell: 6.6055 7.5122 16.7234 Å, 90.00 89.86 90.00°
With the nearest neighbours (Å) after each atom.
Sites, in units of the cell vectors:
F1 0.6758 0.1298 0.6379  2 Ti 2.05
O1 0.0393 0.9393 0.6377  1 Te 1.91, 1 Ti 1.95
O2 0.0359 0.3229 0.8663  1 Te 1.91, 1 Ti 1.96
Ti1 0.7532 0.3931 0.6302  3 O 1.83-1.96, 3 F 1.87-2.05
O3 0.9612 0.0602 0.1368  1 Te 1.91, 1 Ti 1.96
O4 0.5357 0.1798 0.1323  1 Te 1.91, 1 Ti 1.95
O5 0.7790 0.3629 0.2496  2 Te 1.94
F2 0.7347 0.3688 0.5194  1 Ti 1.87
Te1 0.2707 0.6311 0.8645  3 O 1.91-1.94
O6 0.3173 0.8701 0.1311  2 Ti 1.83
F3 0.7653 0.8688 0.9806  1 Ti 1.87
O7 0.4612 0.4398 0.6368  1 Te 1.91, 1 Ti 1.96
O8 0.4607 0.4393 0.8623  1 Te 1.91, 1 Ti 1.95
Te2 0.7277 0.3675 0.3640  3 O 1.91-1.94
Te3 0.7723 0.8675 0.1360  3 O 1.91-1.94
Ti2 0.2432 0.1328 0.3694  3 O 1.83-1.96, 2 F 1.86-2.01
Ti3 0.7432 0.3672 0.8694  3 O 1.83-1.96, 2 F 1.86-2.01
F4 0.7473 0.8789 0.7504  2 Ti 2.00-2.01
Ti4 0.7468 0.8931 0.8698  3 O 1.83-1.96, 3 F 1.87-2.05
O9 0.0357 0.3202 0.6323  1 Te 1.91, 1 Ti 1.95
O10 0.1827 0.3701 0.3689  2 Ti 1.83
O11 0.8173 0.6299 0.6311  2 Ti 1.83
Ti5 0.7568 0.8672 0.6306  3 O 1.83-1.96, 2 F 1.86-2.01
O12 0.6827 0.1299 0.8689  2 Ti 1.83
O13 0.5388 0.5602 0.3632  1 Te 1.91, 1 Ti 1.96
F5 0.7527 0.3789 0.7496  2 Ti 2.00-2.01
F6 0.2347 0.1312 0.0194  1 Ti 1.87
O14 0.9641 0.6771 0.1337  1 Te 1.91, 1 Ti 1.96
F7 0.2473 0.6211 0.2504  2 Ti 2.00-2.01
F8 0.2397 0.1063 0.4801  1 Ti 1.86
F9 0.3242 0.8702 0.3621  2 Ti 2.05
O15 0.2210 0.6371 0.7504  2 Te 1.94
O16 0.9643 0.6798 0.3677  1 Te 1.91, 1 Ti 1.95
Ti6 0.2568 0.6328 0.1306  3 O 1.83-1.96, 2 F 1.86-2.01
F10 0.2603 0.6063 0.0199  1 Ti 1.86
O17 0.0388 0.9398 0.8632  1 Te 1.91, 1 Ti 1.96
O18 0.7210 0.8629 0.2504  2 Te 1.94
Te4 0.2277 0.1325 0.8640  3 O 1.91-1.94
F11 0.2527 0.1211 0.2496  2 Ti 2.00-2.01
Te5 0.2723 0.6325 0.6360  3 O 1.91-1.94
Ti7 0.2532 0.1069 0.1302  3 O 1.83-1.96, 3 F 1.87-2.05
Te6 0.7293 0.3689 0.1355  3 O 1.91-1.94
O19 0.2790 0.1371 0.7496  2 Te 1.94
F12 0.7603 0.8937 0.5199  1 Ti 1.86
F13 0.7397 0.3937 0.9801  1 Ti 1.86
F14 0.2653 0.6312 0.4806  1 Ti 1.87
O20 0.4641 0.8229 0.6337  1 Te 1.91, 1 Ti 1.96
O21 0.5393 0.5607 0.1377  1 Te 1.91, 1 Ti 1.95
Ti8 0.2468 0.6069 0.3698  3 O 1.83-1.96, 3 F 1.87-2.05
Te7 0.2293 0.1311 0.6355  3 O 1.91-1.94
O22 0.4643 0.8202 0.8677  1 Te 1.91, 1 Ti 1.95
O23 0.5359 0.1771 0.3663  1 Te 1.91, 1 Ti 1.96
Te8 0.7707 0.8689 0.3645  3 O 1.91-1.94
O24 0.9607 0.0607 0.3623  1 Te 1.91, 1 Ti 1.95
F15 0.8242 0.6298 0.8621  2 Ti 2.05
F16 0.1758 0.3702 0.1379  2 Ti 2.05

Values from the calculation:
For the theoretical density, the calculation gives 4.19 g/cm³. The total moment is 0.000 μB per atom. The calculation puts the volume at 14.819 Å³ per atom. Its calculated total energy is -6.566 eV/atom. The uncorrected formation energy comes out at -2.330 eV/atom.

---

(6)
Density functional theory data (PBE-GGA) for an optimized crystal structure of TiTeO2F.

Cell: 4.1951 4.1951 4.6707 Å, 90.00 90.00 90.00°
With the nearest neighbours (Å) after each atom.
Sites, in units of the cell vectors:
O1 0.0000 0.5000 0.0000  2 Te 2.10
O2 0.5000 0.0000 0.0000  2 Te 2.10
F1 0.0000 0.0000 0.5000  2 Te 2.34
Te1 0.0000 0.0000 0.0000  4 O 2.10, 2 F 2.34
Ti1 0.5000 0.5000 0.5000  4 F 2.97, 8 O 3.14

Values from the calculation:
For the theoretical density, the calculation gives 4.57 g/cm³. The total moment is 0.035 μB per atom. The calculation puts the volume at 16.440 Å³ per atom. Its calculated total energy is -4.991 eV/atom. The uncorrected formation energy comes out at -0.427 eV/atom.

---

(7)
Density functional theory data (PBE-GGA) for an optimized crystal structure of TlTeO2F.

Cell: 4.3985 4.3985 4.3561 Å, 90.00 90.00 90.00°
With the nearest neighbours (Å) after each atom.
Sites, in units of the cell vectors:
Te1 0.5000 0.5000 0.5000  8 O 3.10, 4 F 3.11
Tl1 0.0000 0.0000 0.0000  2 F 2.18, 4 O 2.20
F1 0.0000 0.0000 0.5000  2 Tl 2.18
O1 0.0000 0.5000 0.0000  2 Tl 2.20
O2 0.5000 0.0000 0.0000  2 Tl 2.20

Values from the calculation:
For the theoretical density, the calculation gives 7.55 g/cm³. The total moment is 0.000 μB per atom. The calculation puts the volume at 16.855 Å³ per atom. Its calculated total energy is -3.677 eV/atom. The uncorrected formation energy comes out at -0.218 eV/atom.

---

(8)
Density functional theory data (PBE-GGA) for an optimized crystal structure of TlTeO3F.

Cell: 5.1891 6.3687 9.5842 Å, 70.59 77.03 47.50°
With the nearest neighbours (Å) after each atom.
Sites, in units of the cell vectors:
O1 0.2500 0.8507 0.2987  1 Te 1.83
Tl1 0.2500 0.3405 0.3191  2 O 2.67, 2 F 2.90
O2 0.5976 0.8231 0.9309  2 Te 1.98-2.01
F1 0.7500 0.4120 0.1760  2 Te 2.49, 6 O 2.63-2.71
Te1 0.7500 0.0483 0.9034  5 O 1.83-2.01
F2 0.2500 0.5880 0.8240  2 Te 2.49, 6 O 2.63-2.71
Tl2 0.7500 0.6595 0.6809  2 O 2.67, 2 F 2.90
O3 0.4024 0.1769 0.0691  2 Te 1.98-2.01
O4 0.0976 0.7540 0.0691  2 Te 1.98-2.01
Te2 0.2500 0.9517 0.0966  5 O 1.83-2.01
O5 0.9024 0.2460 0.9309  2 Te 1.98-2.01
O6 0.7500 0.1493 0.7013  1 Te 1.83

Values from the calculation:
For the theoretical density, the calculation gives 6.02 g/cm³. The total moment is 0.000 μB per atom. The calculation puts the volume at 18.354 Å³ per atom. Its calculated total energy is -4.638 eV/atom. The uncorrected formation energy comes out at -0.929 eV/atom.

---

(9)
Density functional theory data (PBE-GGA) for an optimized crystal structure of Tl3TeO6F2.

Cell: 5.0461 6.6240 6.5643 Å, 120.30 85.92 90.00°
With the nearest neighbours (Å) after each atom.
Sites, in units of the cell vectors:
F1 0.7689 0.3238 0.6476  3 Tl 2.34-2.39
O1 0.2855 0.1480 0.8586  1 Te 2.01, 1 Tl 2.23
O2 0.7145 0.8520 0.1414  1 Te 2.01, 1 Tl 2.23
O3 0.7145 0.2894 0.1414  1 Te 2.01, 1 Tl 2.23
Tl1 0.0000 0.5000 0.0000  2 F 2.39, 4 O 2.45
Tl2 0.5000 0.0000 0.5000  4 O 2.23-2.30, 2 F 2.34
Te1 0.5000 0.0000 0.0000  6 O 2.00-2.01
O4 0.2855 0.7106 0.8586  1 Te 2.01, 1 Tl 2.23
Tl3 0.5000 0.5000 0.5000  4 O 2.23-2.30, 2 F 2.34
O5 0.7162 0.8444 0.6887  1 Te 2.00
F2 0.2311 0.6762 0.3524  3 Tl 2.34-2.39
O6 0.2838 0.1556 0.3113  1 Te 2.00

Values from the calculation:
For the theoretical density, the calculation gives 7.69 g/cm³. The total moment is 0.000 μB per atom. The calculation puts the volume at 15.733 Å³ per atom. Its calculated total energy is -4.615 eV/atom. The uncorrected formation energy comes out at -0.971 eV/atom.

---

(10)
Density functional theory data (PBE-GGA) for an optimized crystal structure of TlTeO4F.

Cell: 5.8533 5.8533 7.5797 Å, 74.46 74.46 76.41°
With the nearest neighbours (Å) after each atom.
Sites, in units of the cell vectors:
O1 0.5240 0.1365 0.1377  1 Te 1.85
F1 0.9387 0.9387 0.8602  2 Tl 2.23-2.26
O2 0.5507 0.5507 0.3039  1 Te 1.85
Tl1 0.8086 0.8086 0.1685  4 O 2.23-2.33, 2 F 2.23-2.26
O3 0.4493 0.4493 0.6961  1 Te 1.85
O4 0.4760 0.8635 0.8623  1 Te 1.85
O5 0.7941 0.7941 0.4810  1 Te 1.84
O6 0.2059 0.2059 0.5190  1 Te 1.84
O7 0.8635 0.4760 0.8623  1 Te 1.85
F2 0.0613 0.0613 0.1398  2 Tl 2.23-2.26
Te1 0.6441 0.6441 0.7161  4 O 1.84-1.85
Te2 0.3559 0.3559 0.2839  4 O 1.84-1.85
O8 0.1365 0.5240 0.1377  1 Te 1.85
Tl2 0.1914 0.1914 0.8315  4 O 2.23-2.33, 2 F 2.23-2.26

Values from the calculation:
For the theoretical density, the calculation gives 5.81 g/cm³. The total moment is 0.000 μB per atom. The calculation puts the volume at 16.950 Å³ per atom. Its calculated total energy is -4.735 eV/atom. The uncorrected formation energy comes out at -0.848 eV/atom.

---

(11)
Density functional theory data (PBE-GGA) for an optimized crystal structure of TlTeO2F.

Cell: 4.2177 4.2177 4.7432 Å, 90.00 90.00 90.00°
With the nearest neighbours (Å) after each atom.
Sites, in units of the cell vectors:
O1 0.5000 0.0000 0.0000  2 Te 2.11
Tl1 0.5000 0.5000 0.5000  4 F 2.98, 8 O 3.17
Te1 0.0000 0.0000 0.0000  4 O 2.11
O2 0.0000 0.5000 0.0000  2 Te 2.11
F1 0.0000 0.0000 0.5000  2 Te 2.37

Values from the calculation:
For the theoretical density, the calculation gives 7.54 g/cm³. The total moment is 0.000 μB per atom. The calculation puts the volume at 16.875 Å³ per atom. Its calculated total energy is -4.557 eV/atom. The uncorrected formation energy comes out at -1.098 eV/atom.

---

(12)
Density functional theory data (PBE-GGA) for an optimized crystal structure of TmTeO4F.

Cell: 5.8753 5.8753 6.9585 Å, 77.27 77.27 75.70°
With the nearest neighbours (Å) after each atom.
Sites, in units of the cell vectors:
O1 0.8812 0.5075 0.8643  1 Te 1.85
O2 0.4506 0.4506 0.7224  1 Te 1.83
F1 0.9777 0.9777 0.8343  2 Tm 2.16-2.21
O3 0.2202 0.2202 0.5447  1 Te 1.82
Te1 0.3494 0.3494 0.2938  4 O 1.82-1.85
O4 0.1188 0.4925 0.1357  1 Te 1.85
O5 0.4925 0.1188 0.1357  1 Te 1.85
Tm1 0.2006 0.2006 0.8891  2 F 2.16-2.21, 4 O 2.27-2.35
O6 0.5494 0.5494 0.2776  1 Te 1.83
O7 0.5075 0.8812 0.8643  1 Te 1.85
F2 0.0223 0.0223 0.1657  2 Tm 2.16-2.21
O8 0.7798 0.7798 0.4553  1 Te 1.82
Te2 0.6506 0.6506 0.7062  4 O 1.82-1.85
Tm2 0.7994 0.7994 0.1109  2 F 2.16-2.21, 4 O 2.27-2.35

Values from the calculation:
For the theoretical density, the calculation gives 5.64 g/cm³. The total moment is 0.009 μB per atom. The calculation puts the volume at 15.965 Å³ per atom. Its calculated total energy is -6.304 eV/atom. The uncorrected formation energy comes out at -2.116 eV/atom.

---

(13)
Density functional theory data (PBE-GGA) for an optimized crystal structure of UTe6O6F30.

Cell: 9.6885 9.6885 10.3714 Å, 76.11 76.11 114.34°
With the nearest neighbours (Å) after each atom.
Sites, in units of the cell vectors:
O1 0.7714 0.9507 0.1271  1 Te 1.91, 1 U 2.07
F1 0.3655 0.3655 0.2861  1 Te 1.86
F2 0.7407 0.5783 0.9207  1 Te 1.87
F3 0.5267 0.2992 0.6892  1 Te 1.87
F4 0.6345 0.6345 0.7139  1 Te 1.86
Te1 0.9239 0.5905 0.2760  5 F 1.86-1.87, 1 O 1.91
F5 0.2110 0.0485 0.3425  1 Te 1.87
F6 0.9719 0.5011 0.1422  1 Te 1.87
F7 0.4989 0.0281 0.8578  1 Te 1.87
Te2 0.4095 0.0761 0.7240  5 F 1.86-1.87, 1 O 1.91
F8 0.5783 0.7407 0.9207  1 Te 1.87
U1 0.0000 0.0000 0.0000  6 O 2.06-2.07
F9 0.6774 0.8759 0.4122  1 Te 1.87
O2 0.9006 0.9006 0.8672  1 Te 1.91, 1 U 2.06
F10 0.8531 0.2947 0.7566  1 Te 1.87
F11 0.8759 0.6774 0.4122  1 Te 1.87
F12 0.0281 0.4989 0.8578  1 Te 1.87
F13 0.2593 0.4217 0.0793  1 Te 1.87
O3 0.9507 0.7714 0.1271  1 Te 1.91, 1 U 2.07
F14 0.7890 0.9515 0.6575  1 Te 1.87
F15 0.2947 0.8531 0.7566  1 Te 1.87
O4 0.2286 0.0493 0.8729  1 Te 1.91, 1 U 2.07
O5 0.0994 0.0994 0.1328  1 Te 1.91, 1 U 2.06
F16 0.5858 0.1016 0.5793  1 Te 1.86
F17 0.8984 0.4142 0.4207  1 Te 1.86
F18 0.4733 0.7008 0.3108  1 Te 1.87
F19 0.1241 0.3226 0.5878  1 Te 1.87
F20 0.1469 0.7053 0.2434  1 Te 1.87
F21 0.9515 0.7890 0.6575  1 Te 1.87
Te3 0.7660 0.7660 0.7893  5 F 1.86-1.87, 1 O 1.91
F22 0.5011 0.9719 0.1422  1 Te 1.87
F23 0.4217 0.2593 0.0793  1 Te 1.87
F24 0.3226 0.1241 0.5878  1 Te 1.87
F25 0.4142 0.8984 0.4207  1 Te 1.86
F26 0.1016 0.5858 0.5793  1 Te 1.86
O6 0.0493 0.2286 0.8729  1 Te 1.91, 1 U 2.07
F27 0.0485 0.2110 0.3425  1 Te 1.87
Te4 0.0761 0.4095 0.7240  5 F 1.86-1.87, 1 O 1.91
Te5 0.5905 0.9239 0.2760  5 F 1.86-1.87, 1 O 1.91
F28 0.2992 0.5267 0.6892  1 Te 1.87
F29 0.7053 0.1469 0.2434  1 Te 1.87
Te6 0.2340 0.2340 0.2107  5 F 1.86-1.87, 1 O 1.91
F30 0.7008 0.4733 0.3108  1 Te 1.87

Values from the calculation:
For the theoretical density, the calculation gives 3.49 g/cm³. The total moment is 0.000 μB per atom. The calculation puts the volume at 18.497 Å³ per atom. Its calculated total energy is -4.714 eV/atom. The uncorrected formation energy comes out at -2.016 eV/atom.

---

(14)
Density functional theory data (PBE-GGA) for an optimized crystal structure of UTeO5F.

Cell: 5.8389 5.8389 8.2177 Å, 104.45 104.45 91.06°
With the nearest neighbours (Å) after each atom.
Sites, in units of the cell vectors:
U1 0.0000 0.0000 0.0000  6 O 2.04-2.18
Te1 0.6133 0.3867 0.2500  4 O 1.93-2.04, 1 F 1.99
O1 0.3097 0.8254 0.6018  1 Te 1.93
O2 0.3329 0.1678 0.0801  1 U 2.04, 1 Te 2.04
O3 0.8322 0.6671 0.4199  1 U 2.04, 1 Te 2.04
O4 0.9568 0.0432 0.7500  2 U 2.09
Te2 0.3867 0.6133 0.7500  4 O 1.93-2.04, 1 F 1.99
O5 0.8254 0.3097 0.1018  1 Te 1.93
O6 0.1678 0.3329 0.5801  1 U 2.04, 1 Te 2.04
O7 0.6903 0.1746 0.3982  1 Te 1.93
O8 0.0432 0.9568 0.2500  2 U 2.09
O9 0.1746 0.6903 0.8982  1 Te 1.93
U2 0.0000 0.0000 0.5000  6 O 2.04-2.18
O10 0.6671 0.8322 0.9199  1 U 2.04, 1 Te 2.04
F1 0.3744 0.6256 0.2500  1 Te 1.99
F2 0.6256 0.3744 0.7500  1 Te 1.99

Values from the calculation:
For the theoretical density, the calculation gives 5.90 g/cm³. The total moment is 0.000 μB per atom. The calculation puts the volume at 16.359 Å³ per atom. Its calculated total energy is -7.128 eV/atom. The uncorrected formation energy comes out at -1.991 eV/atom.